Computed, not measured: Pr2Ni3Sb4Pt after structural relaxation at the GGA-PBE level of DFT.

The structure in POSCAR format:
```
Pr2Ni3Sb4Pt
1.0
4.556 0.000 0.000
0.000 4.556 0.000
0.000 0.000 10.103
Pr Ni Sb Pt
2 3 4 1
direct
0.000 0.500 0.244
0.500 0.000 0.756
0.000 0.000 0.000
0.000 0.500 0.618
0.500 0.000 0.382
0.000 0.000 0.500
0.000 0.500 0.865
0.500 0.000 0.135
0.500 0.500 0.500
0.500 0.500 0.000
```

Summary:
raw total energy: -5.636 eV/atom
crystal system: tetragonal
raw formation energy: -0.693 eV/atom
magnetization: 0.00 μB per cell
density: 9.03 g/cm³



Computed, not measured: TeIrPt2 after structural relaxation at the GGA-PBE level of DFT.

The structure in POSCAR format:
```
TeIrPt2
1.0
0.000 3.250 3.250
3.250 0.000 3.250
3.250 3.250 0.000
Te Ir Pt
1 1 2
direct
0.000 0.000 0.000
0.250 0.250 0.250
0.500 0.500 0.500
0.750 0.750 0.750
```

Summary:
raw total energy: -5.770 eV/atom
crystal system: cubic
raw formation energy: 0.251 eV/atom
magnetization: 0.00 μB per cell
density: 17.18 g/cm³



Computed, not measured: LaBeCu after structural relaxation at the GGA-PBE level of DFT.

The structure in POSCAR format:
```
LaBeCu
1.0
0.000 3.224 3.224
3.224 0.000 3.224
3.224 3.224 0.000
La Be Cu
1 1 1
direct
0.000 0.000 0.000
0.500 0.500 0.500
0.750 0.750 0.750
```

Summary:
raw total energy: -3.958 eV/atom
crystal system: cubic
energy relative to the lowest polymorph listed for this composition: 298 meV/atom
magnetization: 0.00 μB per cell
formation energy from the elements: 292 meV per atom
density: 5.24 g/cm³



Computed, not measured: BeVZn2N4 after structural relaxation at the GGA-PBE level of DFT.

The structure in POSCAR format:
```
BeVZn2N4
1.0
6.011 0.000 0.000
0.000 5.545 0.000
0.000 0.000 5.136
Be V Zn N
2 2 4 8
direct
0.000 0.164 0.000
0.500 0.836 0.500
0.000 0.842 0.498
0.500 0.158 0.998
0.249 0.668 0.005
0.251 0.332 0.505
0.749 0.332 0.505
0.751 0.668 0.005
0.000 0.139 0.344
0.000 0.876 0.855
0.246 0.316 0.905
0.254 0.684 0.405
0.500 0.124 0.355
0.500 0.861 0.844
0.746 0.684 0.405
0.754 0.316 0.905
```

Summary:
raw total energy: -6.413 eV/atom
crystal system: orthorhombic
raw formation energy: -0.326 eV/atom
magnetization: 0.01 μB per cell
density: 4.79 g/cm³



Computed, not measured: SnHgSe2N after structural relaxation at the GGA-PBE level of DFT.

The structure in POSCAR format:
```
SnHgSe2N
1.0
4.776 0.000 0.000
0.000 4.776 0.000
0.000 0.000 4.556
Sn Hg Se N
1 1 2 1
direct
0.000 0.000 0.000
0.500 0.500 0.000
0.000 0.500 0.500
0.500 0.000 0.500
0.500 0.500 0.500
```

Summary:
raw total energy: -3.263 eV/atom
crystal system: tetragonal
energy relative to the lowest polymorph listed for this composition: 0 meV/atom
raw formation energy: 0.657 eV/atom
magnetization: 0.00 μB per cell
density: 7.85 g/cm³



Computed, not measured: KLi2VS4 after structural relaxation at the GGA-PBE level of DFT.

The structure in POSCAR format:
```
KLi2VS4
1.0
-3.294 3.294 4.242
3.294 -3.294 4.242
3.294 3.294 -4.242
K Li V S
1 2 1 4
direct
0.000 0.000 0.000
0.250 0.750 0.500
0.750 0.250 0.500
0.500 0.500 0.000
0.162 0.539 0.000
0.461 0.461 0.623
0.539 0.162 0.000
0.838 0.838 0.377
```

Summary:
raw total energy: -4.917 eV/atom
crystal system: tetragonal
raw formation energy: -1.097 eV/atom
magnetization: 0.00 μB per cell
density: 2.09 g/cm³



Computed, not measured: Cs2PmGeO4 after structural relaxation at the GGA-PBE level of DFT.

The structure in POSCAR format:
```
Cs2PmGeO4
1.0
0.000 6.720 12.548
2.960 0.000 12.548
2.960 6.720 0.000
Cs Pm Ge O
4 2 2 8
direct
0.057 0.057 0.693
0.307 0.307 0.943
0.693 0.693 0.057
0.943 0.943 0.307
0.125 0.125 0.125
0.875 0.875 0.875
0.375 0.375 0.375
0.625 0.625 0.625
0.061 0.617 0.530
0.292 0.530 0.617
0.383 0.939 0.708
0.470 0.708 0.939
0.530 0.292 0.061
0.617 0.061 0.292
0.708 0.470 0.383
0.939 0.383 0.470
```

Summary:
raw total energy: -5.636 eV/atom
crystal system: orthorhombic
raw formation energy: -1.772 eV/atom
magnetization: 0.00 μB per cell
density: 3.64 g/cm³



Computed, not measured: PaBi2AuN after structural relaxation at the GGA-PBE level of DFT.

The structure in POSCAR format:
```
PaBi2AuN
1.0
4.048 0.000 0.000
0.000 4.048 0.000
0.000 0.000 15.105
Pa Bi Au N
2 4 2 2
direct
0.250 0.250 0.074
0.750 0.750 0.926
0.250 0.250 0.426
0.250 0.250 0.803
0.750 0.750 0.197
0.750 0.750 0.574
0.250 0.250 0.619
0.750 0.750 0.381
0.250 0.750 0.000
0.750 0.250 0.000
```

Summary:
raw total energy: -6.455 eV/atom
crystal system: tetragonal
raw formation energy: -0.683 eV/atom
magnetization: 0.00 μB per cell
density: 11.54 g/cm³



Computed, not measured: BaAg3Sb3 after structural relaxation at the GGA-PBE level of DFT.

The structure in POSCAR format:
```
BaAg3Sb3
1.0
7.660 0.000 0.000
0.000 7.660 0.000
0.000 0.000 7.660
Ba Ag Sb
2 6 6
direct
0.000 0.000 0.000
0.500 0.500 0.500
0.000 0.250 0.500
0.000 0.750 0.500
0.250 0.500 0.000
0.500 0.000 0.250
0.500 0.000 0.750
0.750 0.500 0.000
0.000 0.500 0.250
0.000 0.500 0.750
0.250 0.000 0.500
0.500 0.250 0.000
0.500 0.750 0.000
0.750 0.000 0.500
```

Summary:
raw total energy: -3.378 eV/atom
crystal system: cubic
energy relative to the lowest polymorph listed for this composition: 81 meV/atom
raw formation energy: -0.114 eV/atom
magnetization: 0.00 μB per cell
density: 6.11 g/cm³



Computed, not measured: RbTlCd2Pt after structural relaxation at the GGA-PBE level of DFT.

The structure in POSCAR format:
```
RbTlCd2Pt
1.0
5.394 0.000 0.000
0.000 5.394 0.000
0.000 0.000 5.315
Rb Tl Cd Pt
1 1 2 1
direct
0.000 0.000 0.000
0.500 0.500 0.000
0.000 0.500 0.500
0.500 0.000 0.500
0.500 0.500 0.500
```

Summary:
raw total energy: -2.448 eV/atom
crystal system: tetragonal
magnetization: 0.00 μB per cell
formation energy from the elements: -207 meV per atom
density: 7.62 g/cm³



Computed, not measured: Pm3PaRu4 after structural relaxation at the GGA-PBE level of DFT.

The structure in POSCAR format:
```
Pm3PaRu4
1.0
-2.846 4.168 4.003
2.846 -4.168 4.003
2.846 4.168 -4.003
Pm Pa Ru
3 1 4
direct
0.000 0.000 0.000
0.110 0.370 0.740
0.630 0.370 0.260
0.377 0.877 0.500
0.466 0.723 0.743
0.646 0.391 0.745
0.646 0.901 0.255
0.980 0.723 0.257
```

Summary:
raw total energy: -7.754 eV/atom
crystal system: orthorhombic
energy relative to the lowest polymorph listed for this composition: 129 meV/atom
magnetization: 0.00 μB per cell
formation energy from the elements: -148 meV per atom
density: 9.36 g/cm³



Computed, not measured: FeHg2Ru after structural relaxation at the GGA-PBE level of DFT.

The structure in POSCAR format:
```
FeHg2Ru
1.0
2.912 0.000 0.000
0.000 4.112 0.000
0.000 0.000 5.761
Fe Hg Ru
1 2 1
direct
0.000 0.000 0.000
0.500 0.500 0.248
0.500 0.500 0.752
0.000 0.000 0.500
```

Summary:
raw total energy: -4.025 eV/atom
crystal system: orthorhombic
energy relative to the lowest polymorph listed for this composition: 228 meV/atom
magnetization: 4.21 μB per cell
formation energy from the elements: 561 meV per atom
density: 13.44 g/cm³